Compound: Na3CrPd
Source: Alexandria via LeMat-Bulk
Functional: PBE-GGA
Structure: relaxed

Geometry as CIF:
```
data_Na3CrPd
_chemical_formula_sum 'Na3 Cr1 Pd1'
_space_group_name_H-M_alt 'P m -3 m'
_space_group_IT_number 221
_space_group_name_Hall '-P 4 2 3'
_cell_length_a 5.4070
_cell_length_b 5.4070
_cell_length_c 5.4070
_cell_angle_alpha 90.00
_cell_angle_beta 90.00
_cell_angle_gamma 90.00
loop_
_atom_site_label
_atom_site_type_symbol
_atom_site_fract_x
_atom_site_fract_y
_atom_site_fract_z
_atom_site_occupancy
Na1 Na 0.0000 0.0000 0.5000 1
Cr1 Cr 0.5000 0.5000 0.5000 1
Pd1 Pd 0.0000 0.0000 0.0000 1
```

Properties
**Formation enthalpy at 0 K**: 0.632 eV per atom
**VASP energy**: -15.613 eV/f.u.
**Offset from the most stable computed form**: 0.000 eV per atom